A relaxed structure of AuSe2. Source: Alexandria, functional GGA-PBE.

Cell: 12.2514 12.2514 3.6387 Å, 90.00 90.00 162.95°
Atoms (fractional coordinates):
Au 0.0910 0.9090 0.2500
Au 0.9090 0.0910 0.7500
Se 0.4304 0.5696 0.2500
Se 0.5696 0.4304 0.7500
Se 0.7370 0.2630 0.2500
Se 0.2630 0.7370 0.7500

Its uncorrected formation energy is 0.201 eV/atom. The total magnetization is 0.00 μB/cell. The calculation puts the volume at 160.1 Å³/cell. The space group is Cmcm.

A relaxed structure of Au2Se. Source: Alexandria, functional GGA-PBE.

Cell: 5.0516 5.0516 5.0516 Å, 137.88 137.88 61.09°
Atoms (fractional coordinates):
Au 0.6689 0.6689 0.0000
Au 0.3311 0.3311 0.0000
Se 0.0000 0.0000 0.0000

Its uncorrected formation energy is 0.249 eV/atom. The total magnetization is 0.00 μB/cell. The calculation puts the volume at 57.3 Å³/cell. The space group is I4/mmm.

A relaxed structure of AuSe. Source: Alexandria, functional GGA-PBE.

Cell: 3.9480 3.9480 20.2086 Å, 90.00 90.00 120.00°
Atoms (fractional coordinates):
Au 0.0000 0.0000 0.2891
Au 0.0000 0.0000 0.7109
Au 0.3333 0.6667 0.6320
Au 0.3333 0.6667 0.9610
Au 0.6667 0.3333 0.0390
Au 0.6667 0.3333 0.3680
Se 0.0000 0.0000 0.1009
Se 0.0000 0.0000 0.8991
Se 0.3333 0.6667 0.4287
Se 0.3333 0.6667 0.2268
Se 0.6667 0.3333 0.7732
Se 0.6667 0.3333 0.5713

Its uncorrected formation energy is 0.097 eV/atom. The total magnetization is 0.00 μB/cell. The calculation puts the volume at 272.8 Å³/cell. The space group is P-3m1.